# TlAgW2, relaxed, DFT PBE
# - formation energy from the elements (kcal/mol of atoms) = 20.71
# - crystal system = tetragonal
# - V (Å³ per cell) = 143
data_TlAgW2
_space_group_name_H-M_alt 'I 4/m m m'
_space_group_IT_number 139
_space_group_name_Hall '-I 4 2'
_cell_length_a 3.932
_cell_length_b 3.932
_cell_length_c 9.267
_cell_angle_alpha 90.00
_cell_angle_beta 90.00
_cell_angle_gamma 90.00
loop_
_atom_site_label
_atom_site_fract_x
_atom_site_fract_y
_atom_site_fract_z
Tl1 0.000 0.000 0.000
Ag1 0.000 0.000 0.500
W1 0.000 0.500 0.250